(1)
Computed, not measured: an optimized crystal structure of Rb2TlBi2Pd at the PBE level of DFT.

Results
E_form	-0.2439	eV per atom
size of the total moment	0.00	μB per cell
mass density	6.449	g/cm3

a = 7.7499 Å, b = 16.2973 Å, c = 7.3372 Å
α = 90.00°, β = 90.00°, γ = 90.00°
Last column: nearest neighbours and their distance in Å.
Space group Ibam (No. 72)
Unique sites:
1 Rb 0.2413 0.1666 0.0000 x8  2 Tl 3.77, 5 Bi 3.79-4.15, 2 Pd 3.84
2 Tl 0.0000 0.0000 0.2500 x4  4 Bi 3.28, 2 Tl 3.67
3 Bi 0.2003 0.4137 0.0000 x8  2 Pd 2.78
4 Pd 0.0000 0.5000 0.2500 x4  4 Bi 2.78

(2)
Computed, not measured: an optimized crystal structure of RbTl2BiPd at the PBE level of DFT.

Results
E_form	-0.0937	eV per atom
size of the total moment	0.00	μB per cell
mass density	7.871	g/cm3

a = 5.4837 Å, b = 5.4837 Å, c = 5.6799 Å
α = 90.00°, β = 90.00°, γ = 90.00°
Last column: nearest neighbours and their distance in Å.
Space group P4/mmm (No. 123)
Unique sites:
1 Rb 0.0000 0.0000 0.0000 x1  4 Bi 3.88, 8 Tl 3.95
2 Tl 0.0000 0.5000 0.5000 x2  2 Pd 2.74
3 Bi 0.5000 0.5000 0.0000 x1  2 Pd 2.84
4 Pd 0.5000 0.5000 0.5000 x1  4 Tl 2.74, 2 Bi 2.84

(3)
Computed, not measured: an optimized crystal structure of Rb3Tl2Bi4Pd2 at the PBE level of DFT.

Results
E_form	-0.1543	eV per atom
size of the total moment	0.00	μB per cell
mass density	6.834	g/cm3

a = 4.8034 Å, b = 4.8034 Å, c = 20.8410 Å
α = 90.00°, β = 90.00°, γ = 120.00°
Last column: nearest neighbours and their distance in Å.
Space group P-3m1 (No. 164)
Unique sites:
1 Rb 0.0000 0.0000 0.0000 x1  6 Bi 3.83
2 Rb 0.0000 0.0000 0.2997 x2  3 Tl 3.68, 3 Bi 3.79
3 Tl 0.3333 0.6667 0.1835 x2  3 Bi 3.02
4 Bi 0.3333 0.6667 0.4235 x2  4 Pd 2.67-2.82
5 Bi 0.3333 0.6667 0.8735 x2  3 Tl 3.02
6 Pd 0.3333 0.6667 0.5515 x2  4 Bi 2.67-2.82

(4)
Computed, not measured: an optimized crystal structure of ReBiPd2 at the PBE level of DFT.

Results
E_form	0.7034	eV per atom
size of the total moment	7.74	μB per cell
mass density	13.013	g/cm3

a = 4.0302 Å, b = 4.0302 Å, c = 19.1076 Å
α = 90.00°, β = 90.00°, γ = 90.00°
Last column: nearest neighbours and their distance in Å.
Space group I-42d (No. 122)
Unique sites:
1 Re 0.0000 0.0000 0.0000 x4  4 Pd 2.75, 4 Bi 2.85
2 Bi 0.0000 0.0000 0.5000 x4  4 Pd 2.81, 4 Re 2.85
3 Pd 0.2312 0.2500 0.1250 x8  4 Pd 2.74-2.96, 2 Re 2.75, 2 Bi 2.81

(5)
Computed, not measured: an optimized crystal structure of Re2Bi2Pd at the PBE level of DFT.

Results
E_form	0.5683	eV per atom
size of the total moment	0.00	μB per cell
energy relative to the lowest polymorph listed for this composition	0	kJ/mol of formula units
mass density	13.512	g/cm3

a = 3.5844 Å, b = 3.5844 Å, c = 17.1567 Å
α = 90.00°, β = 90.00°, γ = 90.00°
Last column: nearest neighbours and their distance in Å.
Space group I4/mmm (No. 139)
Unique sites:
1 Re 0.0000 0.5000 0.2500 x4  4 Re 2.53
2 Bi 0.0000 0.0000 0.1052 x4  4 Re 3.06, 4 Pd 3.11
3 Pd 0.0000 0.0000 0.5000 x2  8 Bi 3.11

(6)
Computed, not measured: an optimized crystal structure of Re3BiPd at the PBE level of DFT.

Results
E_form	2.3826	eV per atom
size of the total moment	2.08	μB per cell
energy relative to the lowest polymorph listed for this composition	0	kJ/mol of formula units
mass density	13.327	g/cm3

a = 4.7755 Å, b = 4.7755 Å, c = 4.7755 Å
α = 90.00°, β = 90.00°, γ = 90.00°
Last column: nearest neighbours and their distance in Å.
Space group Pm-3m (No. 221)
Unique sites:
1 Re 0.0000 0.0000 0.5000 x3  2 Pd 2.39
2 Bi 0.5000 0.5000 0.5000 x1  12 Re 3.38
3 Pd 0.0000 0.0000 0.0000 x1  6 Re 2.39

(7)
Computed, not measured: an optimized crystal structure of ReBi2Pd at the PBE level of DFT.

Results
E_form	0.6259	eV per atom
size of the total moment	0.00	μB per cell
energy relative to the lowest polymorph listed for this composition	0	kJ/mol of formula units
mass density	14.133	g/cm3

a = 6.9379 Å, b = 6.9379 Å, c = 6.9379 Å
α = 90.00°, β = 90.00°, γ = 90.00°
Last column: nearest neighbours and their distance in Å.
Space group Fm-3m (No. 225)
Unique sites:
1 Re 0.0000 0.0000 0.0000 x4  8 Bi 3.00
2 Bi 0.2500 0.2500 0.2500 x8  4 Pd 3.00, 4 Re 3.00
3 Pd 0.0000 0.0000 0.5000 x4  8 Bi 3.00

(8)
Computed, not measured: an optimized crystal structure of ReBi2Pd at the PBE level of DFT.

Results
E_form	0.9151	eV per atom
size of the total moment	0.00	μB per cell
energy relative to the lowest polymorph listed for this composition	112	kJ/mol of formula units
mass density	9.819	g/cm3

a = 6.2432 Å, b = 6.2432 Å, c = 12.3318 Å
α = 90.00°, β = 90.00°, γ = 90.00°
Last column: nearest neighbours and their distance in Å.
Space group I-42d (No. 122)
Unique sites:
1 Re 0.0000 0.0000 0.0000 x4  4 Bi 2.67
2 Bi 0.2425 0.2500 0.1250 x8  2 Re 2.67, 2 Pd 2.72
3 Pd 0.0000 0.0000 0.5000 x4  4 Bi 2.72